(1)
DFT (PBE-GGA) results for Hf5In2Fe2Tc after structural relaxation.

Values from the calculation:
Final energy   -8.428 eV/atom
Fermi-level density of states   0.71 states/eV/atom
E_form   -174.0 meV per atom
Space-group type   P4/mbm, No. 127

Lattice parameters (Å, degrees): 10.833 10.833 3.249 90.00 90.00 90.00
Positions (direct):
1 Hf 0.000 0.500 0.000
2 Hf 0.067 0.199 0.000
3 Hf 0.199 0.933 0.000
4 Hf 0.301 0.433 0.000
5 Hf 0.433 0.699 0.000
6 Hf 0.500 0.000 0.000
7 Hf 0.567 0.301 0.000
8 Hf 0.699 0.567 0.000
9 Hf 0.801 0.067 0.000
10 Hf 0.933 0.801 0.000
11 In 0.176 0.676 0.500
12 In 0.324 0.176 0.500
13 In 0.676 0.824 0.500
14 In 0.824 0.324 0.500
15 Fe 0.130 0.370 0.500
16 Fe 0.370 0.870 0.500
17 Fe 0.630 0.130 0.500
18 Fe 0.870 0.630 0.500
19 Tc 0.000 0.000 0.500
20 Tc 0.500 0.500 0.500

---

(2)
DFT (PBE-GGA) results for HfZnInFe after structural relaxation.

Values from the calculation:
Final energy   -5.614 eV/atom
Fermi-level density of states   0.32 states/eV/atom
E_form   -6.7 meV per atom
Space-group type   F-43m, No. 216

Lattice parameters (Å, degrees): 6.451 6.451 6.451 90.00 90.00 90.00
Positions (direct):
1 Hf 0.000 0.000 0.000
2 Hf 0.000 0.500 0.500
3 Hf 0.500 0.000 0.500
4 Hf 0.500 0.500 0.000
5 Zn 0.250 0.250 0.250
6 Zn 0.250 0.750 0.750
7 Zn 0.750 0.250 0.750
8 Zn 0.750 0.750 0.250
9 In 0.000 0.000 0.500
10 In 0.000 0.500 0.000
11 In 0.500 0.000 0.000
12 In 0.500 0.500 0.500
13 Fe 0.250 0.250 0.750
14 Fe 0.250 0.750 0.250
15 Fe 0.750 0.250 0.250
16 Fe 0.750 0.750 0.750

---

(3)
DFT (PBE-GGA) results for HfZr2InFe after structural relaxation.

Values from the calculation:
Final energy   -7.333 eV/atom
Fermi-level density of states   1.51 states/eV/atom
E_form   317.1 meV per atom
Space-group type   P4/mmm, No. 123

Lattice parameters (Å, degrees): 4.738 4.738 4.933 90.00 90.00 90.00
Positions (direct):
1 Hf 0.000 0.000 0.000
2 Zr 0.000 0.500 0.500
3 Zr 0.500 0.000 0.500
4 In 0.500 0.500 0.000
5 Fe 0.500 0.500 0.500